AlWS3: relaxed, PBE-GGA.

Output
As for the energy above the most stable polymorph in this dataset: 0.644 eV per atom. The calculation puts the volume at 18.33 A^3/atom. As for the symmetry: Pm-3m (221). Its formation energy from raw total energies is 673 meV per atom.

Lattice parameters (Å, degrees): 4.5090 4.5090 4.5090 90.00 90.00 90.00
Positions (direct):
Al: 0.0000 0.0000 0.0000
W: 0.5000 0.5000 0.5000
S: 0.0000 0.0000 0.5000
S: 0.0000 0.5000 0.0000
S: 0.5000 0.0000 0.0000